No. 1
A PBEsol-optimized structure of RhSeO2, computed with SCAN.

The structure in extended XYZ format:
```
4
Lattice="2.808 0.000 0.000 1.404 2.432 0.000 1.404 0.811 6.990" Properties=species:S:1:pos:R:3 pbc="T T T"
Se 2.808 1.621 3.495
O 1.404 0.811 5.124
Rh 0.000 0.000 0.000
O 4.212 2.432 1.867
```

Computed properties:
crystal system: trigonal
formation energy without anion corrections: 0.146 eV/atom
SG: R-3m


No. 2
A PBEsol-optimized structure of LiP3O, computed with SCAN.

The structure in extended XYZ format:
```
5
Lattice="4.134 0.000 0.000 0.000 4.134 0.000 0.000 0.000 4.134" Properties=species:S:1:pos:R:3 pbc="T T T"
P 0.000 2.067 0.000
P 2.067 0.000 0.000
P 0.000 0.000 2.067
O 2.067 2.067 2.067
Li 0.000 0.000 0.000
```

Computed properties:
crystal system: cubic
formation energy without anion corrections: 1.268 eV/atom
SG: Pm-3m


No. 3
A PBEsol-optimized structure of CaMg2Sb, computed with SCAN.

The structure in extended XYZ format:
```
4
Lattice="-5.049 -0.830 -1.240 -3.549 -0.796 3.807 -3.609 3.688 1.048" Properties=species:S:1:pos:R:3 pbc="T T T"
Ca -6.104 1.032 1.807
Mg 0.000 0.000 0.000
Sb -3.052 0.516 0.904
Mg -9.156 1.547 2.711
```

Computed properties:
crystal system: cubic
E above lowest polymorph: 0.33 eV/f.u.
formation energy without anion corrections: -0.259 eV/atom
SG: F-43m


No. 4
A PBEsol-optimized structure of BeAlPb2, computed with SCAN.

The structure in extended XYZ format:
```
4
Lattice="-1.496 2.975 -0.489 -2.429 -1.090 4.483 4.512 1.950 1.738" Properties=species:S:1:pos:R:3 pbc="T T T"
Al 0.293 1.917 2.866
Pb -1.215 -0.545 2.241
Pb 2.256 0.975 0.869
Be -0.748 1.487 -0.245
```

Computed properties:
crystal system: monoclinic
energy relative to the elements: 53.1 kJ per mole of atoms
E above lowest polymorph: 0.99 eV/f.u.
SG: C2/m


No. 5
A PBEsol-optimized structure of SiPS2, computed with SCAN.

The structure in extended XYZ format:
```
8
Lattice="5.552 -0.078 0.000 -1.932 5.206 0.000 -1.810 -2.564 4.581" Properties=species:S:1:pos:R:3 pbc="T T T"
S -2.273 0.644 4.519
P -0.966 2.603 2.290
P 0.000 0.000 0.000
S 0.503 0.606 2.352
S 3.178 0.638 0.062
Si 2.776 -0.039 2.290
Si 1.810 2.564 0.000
S 2.212 3.240 2.229
```

Computed properties:
crystal system: tetragonal
E above lowest polymorph: 1.36 eV/f.u.
formation energy without anion corrections: 0.477 eV/atom
SG: I-42d


No. 6
A PBEsol-optimized structure of Na8Ni9O18, computed with SCAN.

The structure in extended XYZ format:
```
35
Lattice="-1.503 4.603 -5.019 -6.426 3.835 1.198 0.733 6.025 5.196" Properties=species:S:1:pos:R:3 pbc="T T T"
O -2.084 8.158 4.078
Na -3.428 11.123 0.684
Ni -3.773 7.689 3.353
O -3.559 9.485 2.317
O -6.292 10.101 2.798
Ni -0.064 4.439 2.649
Na -4.610 6.003 0.894
O -6.108 8.922 -2.415
Na -0.889 2.639 0.174
O -5.112 6.306 -2.703
Na -6.307 11.825 1.202
Na -5.435 8.873 1.033
Ni -2.846 4.930 3.197
Ni -0.966 7.194 2.856
Ni -2.598 3.923 -2.147
Na -2.585 8.461 0.481
O -1.723 7.260 -1.281
O -3.637 4.978 -0.942
O -0.901 8.816 1.900
O -0.904 4.362 -1.422
Ni -7.132 10.025 -1.274
O -1.759 3.938 1.954
Ni -4.598 10.540 3.523
O -2.401 5.689 -3.131
O -5.437 10.526 -0.578
Ni -3.423 6.775 -1.978
Na -3.768 3.341 0.692
Na -1.761 5.591 0.343
Ni -6.230 7.269 -1.480
O -6.295 5.647 -0.524
O -4.795 8.775 4.507
O -2.822 6.552 2.178
O -5.473 7.204 2.656
O -4.374 7.912 -0.802
O -1.088 5.541 3.791
```

Computed properties:
crystal system: triclinic
formation energy without anion corrections: -1.459 eV/atom
SG: P-1


No. 7
A PBEsol-optimized structure of Co2Te2Pb, computed with SCAN.

The structure in extended XYZ format:
```
5
Lattice="-0.071 0.969 -3.492 0.137 -3.489 -0.971 -8.286 0.916 2.303" Properties=species:S:1:pos:R:3 pbc="T T T"
Te -2.434 -1.364 -2.210
Te -5.785 -0.242 0.050
Pb 0.000 0.000 0.000
Co -4.162 0.312 -1.710
Co -4.058 -1.917 -0.450
```

Computed properties:
crystal system: tetragonal
formation energy without anion corrections: 0.109 eV/atom
SG: I4/mmm


No. 8
A PBEsol-optimized structure of BaCa2HOs, computed with SCAN.

The structure in extended XYZ format:
```
5
Lattice="4.162 0.000 0.000 0.000 5.020 0.000 0.000 0.000 5.020" Properties=species:S:1:pos:R:3 pbc="T T T"
Ca 0.000 0.000 2.510
Os 2.081 0.000 0.000
H 0.000 0.000 0.000
Ca 0.000 2.510 0.000
Ba 2.081 2.510 2.510
```

Computed properties:
crystal system: tetragonal
calculated total energy: -26.381 eV/atom
SG: P4/mmm


No. 9
A PBEsol-optimized structure of RuPb2Cl, computed with SCAN.

The structure in extended XYZ format:
```
4
Lattice="-2.690 -3.191 1.671 3.825 -2.352 1.666 -0.827 4.805 1.797" Properties=species:S:1:pos:R:3 pbc="T T T"
Ru -1.345 -1.595 0.836
Cl 1.912 -1.176 0.833
Pb -0.120 0.945 1.610
Pb 0.428 -1.682 3.525
```

Computed properties:
crystal system: orthorhombic
E above lowest polymorph: 1.11 eV/f.u.
formation energy without anion corrections: 0.431 eV/atom
SG: Immm


No. 10
A PBEsol-optimized structure of CaPb3F, computed with SCAN.

The structure in extended XYZ format:
```
5
Lattice="-0.023 0.188 5.077 3.896 -3.258 0.138 3.261 3.894 -0.130" Properties=species:S:1:pos:R:3 pbc="T T T"
Pb 1.630 1.947 -0.065
Pb 1.948 -1.629 0.069
Ca 3.567 0.412 2.543
Pb -0.011 0.094 2.538
F 0.000 0.000 0.000
```

Computed properties:
crystal system: cubic
formation energy without anion corrections: -0.807 eV/atom
SG: Pm-3m


No. 11
A PBEsol-optimized structure of InCoTc2Bi, computed with SCAN.

The structure in extended XYZ format:
```
5
Lattice="-3.321 -2.579 -1.863 2.726 -4.071 0.776 -2.084 -0.544 4.469" Properties=species:S:1:pos:R:3 pbc="T T T"
In -1.339 -3.597 1.691
Bi 0.000 0.000 0.000
Tc 1.363 -2.036 0.388
Tc -1.042 -0.272 2.234
Co -1.661 -1.289 -0.931
```

Computed properties:
crystal system: tetragonal
energy relative to the elements: 176.6 kJ per mole of atoms
SG: P4/mmm


No. 12
A PBEsol-optimized structure of NbCrO4, computed with SCAN.

The structure in extended XYZ format:
```
6
Lattice="3.025 0.000 0.000 0.000 4.621 0.009 0.000 -0.082 4.621" Properties=species:S:1:pos:R:3 pbc="T T T"
O 0.000 0.871 0.889
O 1.513 3.223 1.381
O 1.513 1.317 3.249
O 0.000 3.668 3.741
Nb 0.000 2.270 2.315
Cr 1.513 0.000 0.000
```

Computed properties:
crystal system: orthorhombic
formation energy without anion corrections: -2.642 eV/atom
SG: Cmmm


No. 13
A PBEsol-optimized structure of LaSiTeI2, computed with SCAN.

The structure in extended XYZ format:
```
5
Lattice="-1.166 -2.462 -4.619 -0.587 -4.640 2.622 -5.262 1.088 0.749" Properties=species:S:1:pos:R:3 pbc="T T T"
I -0.583 -1.231 -2.309
I -0.293 -2.320 1.311
Si 0.000 0.000 0.000
La -3.507 -3.007 -0.624
Te -2.631 0.544 0.374
```

Computed properties:
crystal system: tetragonal
formation energy without anion corrections: -0.282 eV/atom
SG: P4/mmm


No. 14
A PBEsol-optimized structure of Mg2FeHg, computed with SCAN.

The structure in extended XYZ format:
```
4
Lattice="-0.757 2.597 1.998 -0.514 -2.120 2.560 6.034 0.506 1.630" Properties=species:S:1:pos:R:3 pbc="T T T"
Mg 1.066 0.381 2.739
Mg 5.957 0.499 1.609
Fe 3.007 0.252 0.812
Hg 3.782 0.609 3.473
```

Computed properties:
crystal system: tetragonal
energy relative to the elements: 9.2 kJ per mole of atoms
SG: P4mm


No. 15
A PBEsol-optimized structure of SrMoW2, computed with SCAN.

The structure in extended XYZ format:
```
4
Lattice="-2.357 0.857 -3.924 -4.360 -1.562 -0.486 -3.564 2.997 0.031" Properties=species:S:1:pos:R:3 pbc="T T T"
Mo -5.141 1.146 -2.189
W -2.570 0.573 -1.095
Sr 0.000 0.000 0.000
W -7.711 1.719 -3.284
```

Computed properties:
crystal system: cubic
energy relative to the elements: 135.2 kJ per mole of atoms
E above lowest polymorph: 2.32 eV/f.u.
SG: Fm-3m


No. 16
A PBEsol-optimized structure of ZnNi2Rh, computed with SCAN.

The structure in extended XYZ format:
```
4
Lattice="-2.091 -1.107 -1.304 1.105 -3.792 1.446 -1.908 3.030 3.286" Properties=species:S:1:pos:R:3 pbc="T T T"
Zn -0.692 -1.595 2.464
Rh -2.377 0.575 3.324
Ni -2.202 -0.274 0.966
Ni -0.022 0.005 0.031
```

Computed properties:
crystal system: orthorhombic
energy relative to the elements: -4.4 kJ per mole of atoms
SG: Imm2


No. 17
A PBEsol-optimized structure of Ba4B2N4O, computed with SCAN.

The structure in extended XYZ format:
```
22
Lattice="7.267 0.000 0.000 0.000 7.295 0.000 -3.633 0.000 7.842" Properties=species:S:1:pos:R:3 pbc="T T T"
B 3.633 0.000 2.164
N 2.681 0.950 2.107
B 3.633 3.647 5.678
Ba 3.633 3.647 2.734
Ba 2.243 5.900 0.000
O 0.000 0.000 0.000
N -0.952 0.950 5.735
N 0.952 4.598 2.107
Ba 0.000 3.647 5.108
Ba 1.390 2.253 0.000
N 4.586 4.598 5.735
N -0.952 2.697 2.107
N 2.681 2.697 5.735
Ba 5.023 1.395 0.000
N 4.586 6.344 2.107
B 0.000 0.000 5.678
B 0.000 3.647 2.164
N 0.952 6.344 5.735
Ba 0.000 0.000 2.734
Ba 5.877 5.042 0.000
O 3.633 3.647 0.000
Ba 3.633 0.000 5.108
```

Computed properties:
crystal system: orthorhombic
formation energy without anion corrections: -1.498 eV/atom
SG: Cmce


No. 18
A PBEsol-optimized structure of Cu3Sb, computed with SCAN.

The structure in extended XYZ format:
```
8
Lattice="-0.196 1.890 3.758 -4.949 0.365 -0.441 -0.570 -4.827 2.399" Properties=species:S:1:pos:R:3 pbc="T T T"
Cu -3.885 0.287 -0.346
Sb -4.478 -2.104 0.826
Cu -1.447 -1.390 2.984
Sb -0.853 1.001 1.812
Cu -2.175 -3.471 1.633
Cu -3.726 -2.460 3.403
Cu -3.437 -0.005 2.183
Cu -1.895 -1.098 0.454
```

Computed properties:
crystal system: orthorhombic
formation energy without anion corrections: 0.081 eV/atom
SG: Pmmn


No. 19
A PBEsol-optimized structure of NbGe3Sb, computed with SCAN.

The structure in extended XYZ format:
```
5
Lattice="4.986 0.000 0.000 0.000 4.986 0.000 0.000 0.000 4.986" Properties=species:S:1:pos:R:3 pbc="T T T"
Nb 0.000 0.000 0.000
Ge 2.493 0.000 0.000
Sb 2.493 2.493 2.493
Ge 0.000 2.493 0.000
Ge 0.000 0.000 2.493
```

Computed properties:
crystal system: cubic
formation energy without anion corrections: 0.638 eV/atom
SG: Pm-3m


No. 20
A PBEsol-optimized structure of BeFe2Os, computed with SCAN.

The structure in extended XYZ format:
```
4
Lattice="-1.021 -1.464 -1.959 1.886 -1.823 0.379 -3.447 -2.763 3.861" Properties=species:S:1:pos:R:3 pbc="T T T"
Os 0.432 -1.643 -0.790
Be -1.291 -3.025 1.140
Fe -2.471 -1.981 2.767
Fe -0.976 -0.782 1.093
```

Computed properties:
crystal system: tetragonal
energy relative to the elements: 10.1 kJ per mole of atoms
SG: P4/mmm


No. 21
A PBEsol-optimized structure of Fe5Si, computed with SCAN.

The structure in extended XYZ format:
```
6
Lattice="-1.265 1.270 -2.206 -0.542 -4.528 -0.465 -3.960 1.781 3.298" Properties=species:S:1:pos:R:3 pbc="T T T"
Fe -4.046 -0.766 0.048
Fe -0.633 0.635 -1.103
Si -2.613 1.526 0.546
Fe -3.695 0.180 2.224
Fe -2.073 -1.656 -1.596
Fe -1.722 -0.710 0.579
```

Computed properties:
crystal system: monoclinic
E above lowest polymorph: 0.00 eV/f.u.
formation energy without anion corrections: -0.176 eV/atom
SG: C2/m


No. 22
A PBEsol-optimized structure of TlIn2Os, computed with SCAN.

The structure in extended XYZ format:
```
4
Lattice="3.248 0.000 0.000 0.000 4.948 0.000 0.000 0.000 4.948" Properties=species:S:1:pos:R:3 pbc="T T T"
In 0.000 0.000 2.474
In 0.000 2.474 0.000
Tl 1.624 0.000 0.000
Os 1.624 2.474 2.474
```

Computed properties:
crystal system: tetragonal
energy relative to the elements: 69.1 kJ per mole of atoms
E above lowest polymorph: 1.44 eV/f.u.
SG: P4/mmm


No. 23
A PBEsol-optimized structure of NaY2Hg2, computed with SCAN.

The structure in extended XYZ format:
```
10
Lattice="-2.603 0.973 -2.454 -4.974 -6.121 2.849 -3.303 5.292 5.603" Properties=species:S:1:pos:R:3 pbc="T T T"
Hg -1.881 1.081 2.424
Na -4.139 -0.414 4.226
Y -4.270 3.001 2.919
Hg -3.622 -3.174 2.583
Y -3.523 -0.758 0.636
Na 0.000 0.000 0.000
Y -6.610 -2.856 3.079
Hg -4.655 2.346 5.869
Hg -6.396 -1.910 6.028
Y -7.358 0.903 5.362
```

Computed properties:
crystal system: tetragonal
energy relative to the elements: -54.3 kJ per mole of atoms
SG: P4/mbm


No. 24
A PBEsol-optimized structure of Ba2SeN, computed with SCAN.

The structure in extended XYZ format:
```
4
Lattice="5.271 0.000 0.000 2.636 4.565 0.000 2.636 1.522 4.304" Properties=species:S:1:pos:R:3 pbc="T T T"
Se 5.271 3.043 2.152
Ba 2.636 1.522 1.076
Ba 7.907 4.565 3.228
N 0.000 0.000 0.000
```

Computed properties:
crystal system: cubic
formation energy without anion corrections: -0.781 eV/atom
SG: Fm-3m


No. 25
A PBEsol-optimized structure of GaHRh3, computed with SCAN.

The structure in extended XYZ format:
```
10
Lattice="4.097 0.000 0.000 0.000 5.257 0.000 0.000 0.000 5.257" Properties=species:S:1:pos:R:3 pbc="T T T"
Rh 0.268 1.024 3.653
H 0.436 2.628 2.628
Rh 0.268 3.653 4.233
H 0.436 0.000 0.000
Ga 2.321 2.628 0.000
Rh 2.340 0.000 0.000
Rh 0.268 4.233 1.604
Ga 2.321 0.000 2.628
Rh 2.340 2.628 2.628
Rh 0.268 1.604 1.024
```

Computed properties:
crystal system: tetragonal
E above lowest polymorph: 0.00 eV/f.u.
SG: P4bm


No. 26
A PBEsol-optimized structure of BaSc2Te, computed with SCAN.

The structure in extended XYZ format:
```
4
Lattice="4.766 0.000 0.000 0.000 4.766 0.000 0.000 0.000 4.722" Properties=species:S:1:pos:R:3 pbc="T T T"
Sc 0.000 2.383 0.000
Te 2.383 2.383 2.361
Ba 0.000 0.000 2.361
Sc 2.383 0.000 0.000
```

Computed properties:
crystal system: tetragonal
formation energy without anion corrections: -0.187 eV/atom
SG: P4/mmm


| no. | calculated density (g/cm3) |
| --- | --- |
| 1 | 7.4 |
| 2 | 2.7 |
| 3 | 3.4 |
| 4 | 8.4 |
| 5 | 3.1 |
| 6 | 4.8 |
| 7 | 8.9 |
| 8 | 6.5 |
| 9 | 10.6 |
| 10 | 8.6 |
| 11 | 8.5 |
| 12 | 5.4 |
| 13 | 5.8 |
| 14 | 7.1 |
| 15 | 12.8 |
| 16 | 10.0 |
| 17 | 5.1 |
| 18 | 9.1 |
| 19 | 5.8 |
| 20 | 12.5 |
| 21 | 8.0 |
| 22 | 13.0 |
| 23 | 7.7 |
| 24 | 5.9 |
| 25 | 11.1 |
| 26 | 5.5 |